1.
A geometry-optimized Hf2CrBr structure. Source: Alexandria via LeMat-Bulk, functional PBE.

abc: 6.696 6.696 6.696
angles: 90.00 90.00 90.00
Space group Fm-3m (No. 225)
Asymmetric unit:
Hf 0.250 0.250 0.250 [8 per cell]
Cr 0.000 0.000 0.000 [4 per cell]
Br 0.000 0.000 0.500 [4 per cell]

Values from the calculation:
* formation energy from raw total energies: 0.540 eV/atom
* crystal system: cubic
* polymorph energy (0 for the lowest one): 0 meV/atom
* density of states at the Fermi level: 27.5 states/eV per cell


2.
A geometry-optimized La12TbIn3 structure. Source: Alexandria via LeMat-Bulk, functional PBE.

abc: 5.086 5.086 20.566
angles: 90.00 90.00 90.00
Space group P4/mmm (No. 123)
Asymmetric unit:
La 0.000 0.000 0.000 [1 per cell]
La 0.000 0.000 0.246 [2 per cell]
La 0.000 0.000 0.500 [1 per cell]
La 0.000 0.500 0.123 [4 per cell]
La 0.000 0.500 0.370 [4 per cell]
Tb 0.500 0.500 0.500 [1 per cell]
In 0.500 0.500 0.000 [1 per cell]
In 0.500 0.500 0.246 [2 per cell]

Values from the calculation:
* crystal system: tetragonal
* formation enthalpy at 0 K: -216 meV/atom
* density of states at the Fermi level: 23.4 states/eV per cell


3.
A geometry-optimized NdGaPd4 structure. Source: Alexandria via LeMat-Bulk, functional PBE.

abc: 7.611 7.611 7.611
angles: 90.00 90.00 90.00
Space group F-43m (No. 216)
Asymmetric unit:
Nd 0.000 0.000 0.000 [4 per cell]
Ga 0.250 0.250 0.750 [4 per cell]
Pd 0.124 0.124 0.376 [16 per cell]

Values from the calculation:
* crystal system: cubic
* polymorph energy (0 for the lowest one): 96 meV/atom
* formation enthalpy at 0 K: -597 meV/atom
* density of states at the Fermi level: 13.7 states/eV per cell